1.
Entry from the Alexandria database: crystalline InTc2Mo2 at its relaxed geometry (PBE).

Crystal system = tetragonal
Excess energy over the best structure of this formula in the dataset = 0.1455 eV/atom
Symmetry = I4/mmm
Energy of formation from the pure elements = 2.384 eV/f.u.
Volume = 94.1 Å³/cell

Lattice parameters (Å, degrees): 4.109 4.109 6.284 70.92 70.92 90.00
Atoms (fractional coordinates):
Mo 0.382 0.382 0.236
Mo 0.618 0.618 0.764
Tc 0.750 0.250 0.500
Tc 0.250 0.750 0.500
In 0.000 0.000 0.000


2.
Entry from the Alexandria database: crystalline InTcMo2 at its relaxed geometry (PBE).

Crystal system = tetragonal
Symmetry = I4/mmm
Energy of formation from the pure elements = 1.269 eV/f.u.
Volume = 66.1 Å³/cell

Lattice parameters (Å, degrees): 5.173 5.173 5.173 135.94 135.94 64.08
Atoms (fractional coordinates):
In 0.750 0.250 0.500
Mo 0.000 0.000 0.000
Mo 0.500 0.500 0.000
Tc 0.250 0.750 0.500


3.
Entry from the Alexandria database: crystalline InTcMo2 at its relaxed geometry (PBE).

Crystal system = orthorhombic
Symmetry = Pmmm
Energy of formation from the pure elements = 0.938 eV/f.u.
Volume = 67.1 Å³/cell

Lattice parameters (Å, degrees): 4.121 2.883 6.342 63.01 90.00 90.00
Atoms (fractional coordinates):
In 0.500 0.750 0.750
Mo 0.000 0.969 0.031
Mo 0.000 0.531 0.469
Tc 0.500 0.250 0.250